# 1
Compound: RbBeCuF6
Source: Alexandria via LeMat-Bulk
Functional: PBE
Structure: relaxed

The magnetization comes out at 0.22 μB/atom.

The space group is P312 (No. 149) and the conventional cell measures 4.9446, 4.9446 and 6.1859 Å, with angles of 90.00, 90.00 and 120.00 degrees. The distinct sites, in fractional coordinates, are Rb at (0.0000, 0.0000, 0.0000), Be at (0.6667, 0.3333, 0.5000), Cu at (0.3333, 0.6667, 0.5000) and F at (0.3908, 0.0236, 0.6656).

***

# 2
Compound: Be2CuRhF
Source: Alexandria via LeMat-Bulk
Functional: PBE
Structure: relaxed

Its density of states at the Fermi level is 0.423 states/eV per atom. The magnetization comes out at 0.00 μB/atom.

The space group is P4/mmm (No. 123) and the conventional cell measures 3.6578, 3.6578 and 4.3133 Å, with angles of 90.00, 90.00 and 90.00 degrees. The distinct sites, in fractional coordinates, are Be at (0.0000, 0.5000, 0.0000), Cu at (0.0000, 0.0000, 0.5000), Rh at (0.5000, 0.5000, 0.5000) and F at (0.5000, 0.5000, 0.0000).

***

# 3
Compound: BeCuRhF2
Source: Alexandria via LeMat-Bulk
Functional: PBE
Structure: relaxed

Its density of states at the Fermi level is 0.322 states/eV per atom. The magnetization comes out at 0.00 μB/atom.

The space group is P4/mmm (No. 123) and the conventional cell measures 4.0205, 4.0205 and 4.5350 Å, with angles of 90.00, 90.00 and 90.00 degrees. The distinct sites, in fractional coordinates, are Be at (0.0000, 0.0000, 0.0000), Cu at (0.5000, 0.5000, 0.0000), Rh at (0.0000, 0.0000, 0.5000) and F at (0.0000, 0.5000, 0.5000).

***

# 4
Compound: BeCuRuF
Source: Alexandria via LeMat-Bulk
Functional: PBE
Structure: relaxed

Its density of states at the Fermi level is 0.375 states/eV per atom. The relative energy among the computed polymorphs comes out at 26 meV per atom. The magnetization comes out at 0.00 μB/atom.

The space group is R3m (No. 160, hexagonal axes) and the conventional cell measures 2.7331, 2.7331 and 21.8615 Å, with angles of 90.00, 90.00 and 120.00 degrees. The distinct sites, in fractional coordinates, are Be at (0.0000, 0.0000, 0.0000), Cu at (0.0000, 0.0000, 0.1585), Ru at (0.0000, 0.0000, 0.5873) and F at (0.0000, 0.0000, 0.0670).

***

# 5
Compound: BeCuRuF
Source: Alexandria via LeMat-Bulk
Functional: PBE
Structure: relaxed

Its density of states at the Fermi level is 0.508 states/eV per atom. The relative energy among the computed polymorphs comes out at 51 meV per atom. The magnetization comes out at 0.00 μB/atom.

The space group is Amm2 (No. 38) and the conventional cell measures 2.7382, 2.4621 and 14.4684 Å, with angles of 90.00, 90.00 and 90.00 degrees. The distinct sites, in fractional coordinates, are Be at (0.0000, 0.0000, 0.0000), Cu at (0.0000, 0.0000, 0.7467), Ru at (0.5000, 0.0000, 0.3782) and F at (0.0000, 0.0000, 0.5730).

***

# 6
Compound: BeCuRuF
Source: Alexandria via LeMat-Bulk
Functional: PBE
Structure: relaxed

Its density of states at the Fermi level is 0.690 states/eV per atom. The relative energy among the computed polymorphs comes out at 0 meV per atom. The magnetization comes out at 0.00 μB/atom.

The space group is Cm (No. 8) and the conventional cell measures 4.8314, 2.5405 and 8.3650 Å, with angles of 90.00, 92.93 and 90.00 degrees. The distinct sites, in fractional coordinates, are Be at (0.0000, 0.0000, 0.0000), Cu at (0.0637, 0.5000, 0.5120), Ru at (0.2656, 0.0000, 0.7699) and F at (0.0231, 0.5000, 0.1162).

***

no.,ΔE_f (raw) (eV/f.u.)
1,-20.5
2,0.6
3,-0.6
4,-3.1
5,-3.0
6,-3.2